Arrangement one

Entry from the Alexandria database: Tb8Sm3 after structural relaxation (PBE-GGA).

Properties
- Calculated volume: 32.32 A^3/atom
- N(E_F): 13.739 states/eV/f.u.

a b c (Å): 32.135 32.135 32.135
angles (deg): 6.38 6.38 6.38
Sites, in units of the cell vectors:
Tb 0.045 0.045 0.045
Tb 0.136 0.136 0.136
Tb 0.318 0.318 0.318
Tb 0.409 0.409 0.409
Tb 0.591 0.591 0.591
Tb 0.682 0.682 0.682
Tb 0.864 0.864 0.864
Tb 0.955 0.955 0.955
Sm 0.228 0.228 0.228
Sm 0.500 0.500 0.500
Sm 0.772 0.772 0.772

---

Arrangement two

Entry from the Alexandria database: Tb8Sm3 after structural relaxation (PBE-GGA).

Properties
- Calculated volume: 32.98 A^3/atom
- N(E_F): 16.517 states/eV/f.u.

a b c (Å): 7.150 7.150 7.150
angles (deg): 85.86 85.86 85.86
Sites, in units of the cell vectors:
Tb 0.123 0.123 0.123
Tb 0.196 0.355 0.612
Tb 0.355 0.612 0.196
Tb 0.388 0.804 0.645
Tb 0.612 0.196 0.355
Tb 0.645 0.388 0.804
Tb 0.804 0.645 0.388
Tb 0.877 0.877 0.877
Sm 0.000 0.000 0.500
Sm 0.000 0.500 0.000
Sm 0.500 0.000 0.000

---

Most favorable first, least favorable last: arrangement one, arrangement two

---

Arrangement one

Entry from the Alexandria database: Tb5Sm7 after structural relaxation (PBE-GGA).

Properties
- Calculated volume: 33.52 A^3/atom
- N(E_F): 21.157 states/eV/f.u.

a b c (Å): 5.634 5.634 14.773
angles (deg): 101.86 101.86 62.09
Sites, in units of the cell vectors:
Tb 0.000 0.000 0.000
Tb 0.140 0.140 0.439
Tb 0.374 0.374 0.200
Tb 0.626 0.626 0.800
Tb 0.860 0.860 0.561
Sm 0.038 0.038 0.213
Sm 0.242 0.242 0.671
Sm 0.320 0.320 0.917
Sm 0.500 0.500 0.500
Sm 0.680 0.680 0.083
Sm 0.758 0.758 0.329
Sm 0.962 0.962 0.787

---

Arrangement two

Entry from the Alexandria database: Tb5Sm7 after structural relaxation (PBE-GGA).

Properties
- Calculated volume: 33.01 A^3/atom
- N(E_F): 15.903 states/eV/f.u.

a b c (Å): 9.559 9.559 13.242
angles (deg): 117.63 117.63 21.80
Sites, in units of the cell vectors:
Tb 0.000 0.000 0.000
Tb 0.167 0.167 0.501
Tb 0.306 0.306 0.251
Tb 0.694 0.694 0.749
Tb 0.833 0.833 0.499
Sm 0.028 0.028 0.750
Sm 0.333 0.333 0.999
Sm 0.361 0.361 0.749
Sm 0.500 0.500 0.500
Sm 0.639 0.639 0.251
Sm 0.667 0.667 0.001
Sm 0.972 0.972 0.250

---

Most favorable first, least favorable last: arrangement two, arrangement one